A relaxed structure of PPtCl2. Source: Alexandria, functional PBE.

Geometry as POSCAR:
```
PPtCl2
1.0
1.657 -3.709 0.000
1.657 3.709 0.000
0.000 0.000 8.899
P Pt Cl
1 1 2
direct
0.000 0.000 0.000
0.500 0.500 0.164
0.000 0.000 0.370
0.500 0.500 0.772
```

E_form (uncorrected) = -0.04 eV/atom
Crystal system = orthorhombic
Energy above the lowest structure with this stoichiometry = 537.7 meV/atom

A relaxed structure of CsBCl. Source: Alexandria, functional PBE.

Geometry as POSCAR:
```
CsBCl
1.0
5.315 0.000 0.000
1.564 5.849 0.000
2.548 1.126 6.845
Cs B Cl
2 2 2
direct
0.196 0.244 0.292
0.804 0.756 0.708
0.469 0.412 0.587
0.531 0.588 0.413
0.255 0.236 0.782
0.745 0.764 0.218
```

E_form (uncorrected) = -0.35 eV/atom
Crystal system = triclinic

A relaxed structure of Zn3AsC. Source: Alexandria, functional PBE.

Geometry as POSCAR:
```
Zn3AsC
1.0
4.198 0.000 0.000
0.000 4.198 0.000
0.000 0.000 4.198
Zn As C
3 1 1
direct
0.000 0.000 0.500
0.000 0.500 0.000
0.500 0.000 0.000
0.500 0.500 0.500
0.000 0.000 0.000
```

Energy of formation from the pure elements = 0.56 eV per atom
Crystal system = cubic
Energy above the lowest structure with this stoichiometry = 0.0 meV/atom

A relaxed structure of TbPmSm5. Source: Alexandria, functional PBE.

Geometry as POSCAR:
```
TbPmSm5
1.0
5.976 -3.436 0.000
5.976 3.436 0.000
-4.498 0.000 11.548
Tb Pm Sm
2 2 10
direct
0.000 0.500 0.000
0.500 0.000 0.500
0.028 0.972 0.750
0.972 0.028 0.250
0.154 0.410 0.754
0.186 0.657 0.500
0.343 0.814 0.000
0.410 0.154 0.254
0.412 0.588 0.250
0.588 0.412 0.750
0.590 0.846 0.746
0.657 0.186 0.000
0.814 0.343 0.500
0.846 0.590 0.246
```

Energy of formation from the pure elements = 0.17 eV per atom
Crystal system = monoclinic
Energy above the lowest structure with this stoichiometry = 0.0 meV/atom

A relaxed structure of CeBe17Ni. Source: Alexandria, functional PBE.

Geometry as POSCAR:
```
CeBe17Ni
1.0
3.792 2.189 3.660
-3.792 2.189 3.660
0.000 -4.379 3.660
Ce Be Ni
1 17 1
direct
0.000 0.000 0.000
0.003 0.003 0.504
0.003 0.504 0.003
0.053 0.358 0.635
0.053 0.635 0.358
0.225 0.685 0.685
0.251 0.251 0.251
0.339 0.339 0.855
0.339 0.855 0.339
0.358 0.053 0.635
0.358 0.635 0.053
0.445 0.445 0.445
0.504 0.003 0.003
0.635 0.053 0.358
0.635 0.358 0.053
0.685 0.225 0.685
0.685 0.685 0.225
0.855 0.339 0.339
0.655 0.655 0.655
```

Energy of formation from the pure elements = 0.01 eV per atom
Crystal system = trigonal

A relaxed structure of Ce3Ho2PuN6. Source: Alexandria, functional PBE.

Geometry as POSCAR:
```
Ce3Ho2PuN6
1.0
3.041 -5.268 0.000
3.041 5.268 0.000
-2.029 0.000 5.755
Ce Ho Pu N
3 2 1 6
direct
0.000 0.000 0.000
0.333 0.667 0.000
0.667 0.333 0.000
0.167 0.833 0.500
0.833 0.167 0.500
0.500 0.500 0.500
0.088 0.419 0.257
0.250 0.250 0.743
0.419 0.088 0.257
0.581 0.912 0.743
0.750 0.750 0.257
0.912 0.581 0.743
```

E_form (uncorrected) = -1.52 eV/atom
Crystal system = monoclinic

A relaxed structure of Cs4Pm3SnTe8. Source: Alexandria, functional PBE.

Geometry as POSCAR:
```
Cs4Pm3SnTe8
1.0
4.648 2.683 8.919
-4.648 2.683 8.919
0.000 -5.367 8.919
Cs Pm Sn Te
4 3 1 8
direct
0.000 0.000 0.000
0.000 0.500 0.500
0.500 0.000 0.500
0.500 0.500 0.000
0.000 0.000 0.500
0.000 0.500 0.000
0.500 0.000 0.000
0.500 0.500 0.500
0.232 0.232 0.232
0.234 0.728 0.728
0.272 0.272 0.766
0.272 0.766 0.272
0.728 0.234 0.728
0.728 0.728 0.234
0.766 0.272 0.272
0.768 0.768 0.768
```

E_form (uncorrected) = -1.18 eV/atom
Crystal system = trigonal

A relaxed structure of RhW2Au. Source: Alexandria, functional PBE.

Geometry as POSCAR:
```
RhW2Au
1.0
0.000 3.180 3.180
3.180 0.000 3.180
3.180 3.180 0.000
Rh W Au
1 2 1
direct
0.000 0.000 0.000
0.250 0.250 0.250
0.500 0.500 0.500
0.750 0.750 0.750
```

Energy of formation from the pure elements = 0.35 eV per atom
Crystal system = cubic
Energy above the lowest structure with this stoichiometry = 244.0 meV/atom

A relaxed structure of Mg2MoRh. Source: Alexandria, functional PBE.

Geometry as POSCAR:
```
Mg2MoRh
1.0
2.697 -4.538 0.000
2.697 4.538 0.000
-0.775 0.000 2.669
Mg Mo Rh
2 1 1
direct
0.000 0.500 0.000
0.500 0.000 0.000
0.000 0.000 0.500
0.500 0.500 0.500
```

Energy of formation from the pure elements = 0.09 eV per atom
Crystal system = monoclinic
Energy above the lowest structure with this stoichiometry = 190.3 meV/atom

A relaxed structure of LiLa4Pr3S8. Source: Alexandria, functional PBE.

Geometry as POSCAR:
```
LiLa4Pr3S8
1.0
4.122 2.380 6.679
-4.122 2.380 6.679
0.000 -4.760 6.679
Li La Pr S
1 4 3 8
direct
0.000 0.000 0.000
0.000 0.000 0.500
0.000 0.500 0.000
0.500 0.000 0.000
0.500 0.500 0.500
0.000 0.500 0.500
0.500 0.000 0.500
0.500 0.500 0.000
0.243 0.243 0.755
0.243 0.755 0.243
0.245 0.757 0.757
0.250 0.250 0.250
0.750 0.750 0.750
0.755 0.243 0.243
0.757 0.245 0.757
0.757 0.757 0.245
```

E_form (uncorrected) = -2.03 eV/atom
Crystal system = trigonal

A relaxed structure of BaCeWN3. Source: Alexandria, functional PBE.

Geometry as POSCAR:
```
BaCeWN3
1.0
6.895 -1.982 0.000
6.895 1.982 0.000
-2.032 0.000 7.351
Ba Ce W N
2 2 2 6
direct
0.139 0.139 0.071
0.861 0.861 0.929
0.161 0.161 0.578
0.839 0.839 0.422
0.499 0.499 0.326
0.501 0.501 0.674
0.005 0.005 0.303
0.338 0.338 0.630
0.350 0.350 0.215
0.650 0.650 0.785
0.662 0.662 0.370
0.995 0.995 0.697
```

E_form (uncorrected) = -0.96 eV/atom
Crystal system = monoclinic

A relaxed structure of Sr2InRuW. Source: Alexandria, functional PBE.

Geometry as POSCAR:
```
Sr2InRuW
1.0
5.572 0.000 0.000
0.000 5.572 0.000
0.000 0.000 5.176
Sr In Ru W
2 1 1 1
direct
0.000 0.500 0.000
0.500 0.000 0.000
0.000 0.000 0.500
0.000 0.000 0.000
0.500 0.500 0.500
```

Energy of formation from the pure elements = 1.21 eV per atom
Crystal system = tetragonal

A relaxed structure of ScBe2ReS. Source: Alexandria, functional PBE.

Geometry as POSCAR:
```
ScBe2ReS
1.0
4.663 0.000 0.000
0.000 4.663 0.000
0.000 0.000 4.616
Sc Be Re S
1 2 1 1
direct
0.000 0.000 0.000
0.000 0.500 0.000
0.500 0.000 0.000
0.000 0.000 0.500
0.500 0.500 0.500
```

E_form (uncorrected) = 2.14 eV/atom
Crystal system = tetragonal

Calculated density for the records above, in order: 4.508; 2.796; 6.357; 7.393; 3.206; 9.709; 5.241; 17.235; 6.291; 5.246; 8.320; 5.941; 4.654 g/cm3